An optimized crystal structure of TcNi3B. Source: Alexandria via LeMat-Bulk, functional PBE-GGA.

Unit cell a=3.834 b=3.834 c=3.834 alpha=90.00 beta=90.00 gamma=90.00
Sites, in units of the cell vectors:
Tc 0.000 0.000 0.000
Ni 0.000 0.500 0.500
Ni 0.500 0.000 0.500
Ni 0.500 0.500 0.000
B 0.500 0.500 0.500

Properties
The calculation puts the formation energy at 0.277 eV per atom. The value obtained for the energy above the lowest structure with this stoichiometry is 0.0 meV/atom. As for the final energy: -33.001 eV/f.u.